[1]
This record from Alexandria describes a PBEsol-optimized structure of TiCo2BiOs. The functional is meta-GGA SCAN.

Summary:
As for the size of the total moment: 1.470 μB per cell. The density is 10.9 g cm⁻³. As for the formation enthalpy at 0 K: 8.68 eV per formula unit.

```
TiCo2BiOs
1.0
-0.974 -3.797 -1.338
3.889 -1.243 0.698
-1.266 -1.328 4.693
Bi Co Ti Os
1 2 1 1
Direct
0.000 0.000 0.500 Bi
0.000 0.500 0.000 Co
0.500 0.000 0.000 Co
0.000 0.000 0.000 Ti
0.500 0.500 0.500 Os
```

***

[2]
This record from Alexandria describes a PBEsol-optimized structure of Cs3TcO. The functional is meta-GGA SCAN.

Summary:
As for the size of the total moment: 0.418 μB per cell. The density is 5.1 g cm⁻³. The uncorrected formation energy comes out at 1.02 eV/atom.

```
Cs3TcO
1.0
5.491 0.000 0.000
0.000 5.491 0.000
0.000 0.000 5.491
Cs O Tc
3 1 1
Direct
0.500 0.000 0.000 Cs
0.000 0.500 0.000 Cs
0.000 0.000 0.500 Cs
0.500 0.500 0.500 O
0.000 0.000 0.000 Tc
```

***

[3]
This record from Alexandria describes a PBEsol-optimized structure of ZnP2PdO. The functional is meta-GGA SCAN.

Summary:
As for the size of the total moment: 0.680 μB per cell. The density is 5.0 g cm⁻³. The uncorrected formation energy comes out at 0.58 eV/atom.

```
ZnP2PdO
1.0
-1.517 3.281 -0.868
-4.147 -2.142 -0.851
-1.251 0.621 4.534
Zn P Pd O
1 2 1 1
Direct
0.500 0.500 0.500 Zn
0.000 0.500 0.000 P
0.000 0.000 0.500 P
0.000 0.000 0.000 Pd
0.500 0.000 0.000 O
```